Record 1
Density functional theory data (GGA-PBE) for Y2HfPd2 after structural relaxation.

Cell: 7.009 7.009 4.620 Å, 90.00 90.00 90.00°
Sites, in units of the cell vectors:
Y (0.171, 0.329, 0.000)
Y (0.329, 0.829, 0.000)
Y (0.671, 0.171, 0.000)
Y (0.829, 0.671, 0.000)
Hf (0.000, 0.000, 0.500)
Hf (0.500, 0.500, 0.500)
Pd (0.139, 0.639, 0.500)
Pd (0.361, 0.139, 0.500)
Pd (0.639, 0.861, 0.500)
Pd (0.861, 0.361, 0.500)

Computed properties:
E_tot, eV/atom: -7.269
Crystal system: tetragonal

Record 2
Density functional theory data (GGA-PBE) for YHfPd after structural relaxation.

Cell: 6.662 6.662 6.662 Å, 90.00 90.00 90.00°
Sites, in units of the cell vectors:
Y (0.000, 0.000, 0.000)
Y (0.000, 0.500, 0.500)
Y (0.500, 0.000, 0.500)
Y (0.500, 0.500, 0.000)
Hf (0.000, 0.000, 0.500)
Hf (0.000, 0.500, 0.000)
Hf (0.500, 0.000, 0.000)
Hf (0.500, 0.500, 0.500)
Pd (0.250, 0.250, 0.750)
Pd (0.250, 0.750, 0.250)
Pd (0.750, 0.250, 0.250)
Pd (0.750, 0.750, 0.750)

Computed properties:
E_tot, eV/atom: -7.367
Crystal system: cubic

Record 3
Density functional theory data (GGA-PBE) for Hf2ZnPd after structural relaxation.

Cell: 4.223 4.223 8.050 Å, 90.00 90.00 90.00°
Sites, in units of the cell vectors:
Hf (0.000, 0.500, 0.250)
Hf (0.000, 0.500, 0.750)
Hf (0.500, 0.000, 0.250)
Hf (0.500, 0.000, 0.750)
Zn (0.000, 0.000, 0.000)
Zn (0.500, 0.500, 0.500)
Pd (0.000, 0.000, 0.500)
Pd (0.500, 0.500, 0.000)

Computed properties:
E_tot, eV/atom: -6.940
Crystal system: tetragonal

Record 4
Density functional theory data (GGA-PBE) for HfZnPd2 after structural relaxation.

Cell: 4.548 4.548 3.202 Å, 90.00 90.00 90.00°
Sites, in units of the cell vectors:
Hf (0.000, 0.000, 0.000)
Zn (0.500, 0.500, 0.000)
Pd (0.000, 0.500, 0.500)
Pd (0.500, 0.000, 0.500)

Computed properties:
E_tot, eV/atom: -5.942
Crystal system: tetragonal

Record 5
Density functional theory data (GGA-PBE) for Hf2ZnPd2 after structural relaxation.

Cell: 4.598 4.598 10.079 Å, 90.00 90.00 90.00°
Sites, in units of the cell vectors:
Hf (0.000, 0.500, 0.250)
Hf (0.000, 0.500, 0.750)
Hf (0.500, 0.000, 0.250)
Hf (0.500, 0.000, 0.750)
Zn (0.000, 0.000, 0.000)
Zn (0.500, 0.500, 0.500)
Pd (0.000, 0.000, 0.377)
Pd (0.000, 0.000, 0.623)
Pd (0.500, 0.500, 0.123)
Pd (0.500, 0.500, 0.877)

Computed properties:
E_tot, eV/atom: -6.477
Crystal system: tetragonal

Record 6
Density functional theory data (GGA-PBE) for HfZnPd2 after structural relaxation.

Cell: 6.603 7.322 5.533 Å, 90.00 90.00 90.00°
Sites, in units of the cell vectors:
Hf (0.029, 0.250, 0.157)
Hf (0.471, 0.750, 0.657)
Hf (0.529, 0.250, 0.343)
Hf (0.971, 0.750, 0.843)
Zn (0.105, 0.750, 0.354)
Zn (0.395, 0.250, 0.854)
Zn (0.605, 0.750, 0.146)
Zn (0.895, 0.250, 0.646)
Pd (0.207, 0.047, 0.567)
Pd (0.207, 0.453, 0.567)
Pd (0.293, 0.547, 0.067)
Pd (0.293, 0.953, 0.067)
Pd (0.707, 0.047, 0.933)
Pd (0.707, 0.453, 0.933)
Pd (0.793, 0.547, 0.433)
Pd (0.793, 0.953, 0.433)

Computed properties:
E_tot, eV/atom: -5.969
Crystal system: orthorhombic

Please write out number 5 again, unchanged.
Density functional theory data (GGA-PBE) for Hf2ZnPd2 after structural relaxation.

Cell: 4.598 4.598 10.079 Å, 90.00 90.00 90.00°
Sites, in units of the cell vectors:
Hf (0.000, 0.500, 0.250)
Hf (0.000, 0.500, 0.750)
Hf (0.500, 0.000, 0.250)
Hf (0.500, 0.000, 0.750)
Zn (0.000, 0.000, 0.000)
Zn (0.500, 0.500, 0.500)
Pd (0.000, 0.000, 0.377)
Pd (0.000, 0.000, 0.623)
Pd (0.500, 0.500, 0.123)
Pd (0.500, 0.500, 0.877)

Computed properties:
E_tot, eV/atom: -6.477
Crystal system: tetragonal

> Which value of E_tot does entry 3 give?

-6.940 eV/atom